Entry from Alexandria: a relaxed YSc2NiF crystal (GGA+U).

DOS at the Fermi energy = 5.9 states/eV/cell
Total energy = -5.21 eV/atom

```
data_YSc2NiF
_symmetry_space_group_name_H-M 'P 4/m m m'
_symmetry_Int_Tables_number 123
_symmetry_space_group_name_Hall '-P 4 2'
_cell_length_a 4.3646
_cell_length_b 4.3646
_cell_length_c 4.8047
_cell_angle_alpha 90.00
_cell_angle_beta 90.00
_cell_angle_gamma 90.00
loop_
_atom_site_label
_atom_site_type_symbol
_atom_site_fract_x
_atom_site_fract_y
_atom_site_fract_z
Y1 Y 0.0000 0.0000 0.0000
Sc1 Sc 0.0000 0.5000 0.5000
Ni1 Ni 0.5000 0.5000 0.0000
F1 F 0.0000 0.0000 0.5000
```